Entry 1:
A plane-wave DFT calculation with PBE was carried out for a relaxed structure of Te2HAu.

Properties
Raw total energy = -2.55 eV per atom
SG = Fm-3m
Energy relative to the lowest polymorph listed for this composition = 0.4832 eV/atom
Crystal system = cubic

Geometry as POSCAR:
```
Te2HAu
1.0
0.000 3.442 3.442
3.442 0.000 3.442
3.442 3.442 0.000
Te H Au
2 1 1
direct
0.250 0.250 0.250 Te
0.750 0.750 0.750 Te
0.000 0.000 0.000 H
0.500 0.500 0.500 Au
```

Entry 2:
A plane-wave DFT calculation with PBE was carried out for a relaxed structure of BaRe2SnO8.

Properties
Raw total energy = -7.53 eV per atom
SG = R-3
Raw formation energy = -1.65 eV/atom
Crystal system = trigonal

Geometry as POSCAR:
```
BaRe2SnO8
1.0
3.049 1.760 6.418
-3.049 1.760 6.418
0.000 -3.521 6.418
Ba Re Sn O
1 2 1 8
direct
0.000 0.000 0.000 Ba
0.233 0.233 0.233 Re
0.767 0.767 0.767 Re
0.500 0.500 0.500 Sn
0.065 0.524 0.637 O
0.140 0.140 0.140 O
0.363 0.935 0.476 O
0.476 0.363 0.935 O
0.524 0.637 0.065 O
0.637 0.065 0.524 O
0.860 0.860 0.860 O
0.935 0.476 0.363 O
```

Entry 3:
A plane-wave DFT calculation with PBE was carried out for a relaxed structure of CsSnIr2F.

Properties
Raw total energy = -3.86 eV per atom
SG = P4/mmm
Raw formation energy = 1.03 eV/atom
Crystal system = tetragonal

Geometry as POSCAR:
```
CsSnIr2F
1.0
4.727 0.000 0.000
0.000 4.727 0.000
0.000 0.000 4.894
Cs Sn Ir F
1 1 2 1
direct
0.000 0.000 0.000 Cs
0.500 0.500 0.000 Sn
0.000 0.500 0.500 Ir
0.500 0.000 0.500 Ir
0.500 0.500 0.500 F
```

Entry 4:
A plane-wave DFT calculation with PBE was carried out for a relaxed structure of Zr3RhO.

Properties
Raw total energy = -8.81 eV per atom
SG = Cmmm
Raw formation energy = -1.22 eV/atom
Crystal system = orthorhombic

Geometry as POSCAR:
```
Zr3RhO
1.0
4.408 -5.934 0.000
4.408 5.934 0.000
0.000 0.000 3.332
Zr Rh O
6 2 2
direct
0.177 0.429 0.500 Zr
0.194 0.806 0.000 Zr
0.429 0.177 0.500 Zr
0.571 0.823 0.500 Zr
0.806 0.194 0.000 Zr
0.823 0.571 0.500 Zr
0.000 0.000 0.500 Rh
0.500 0.500 0.000 Rh
0.000 0.500 0.000 O
0.500 0.000 0.000 O
```

Entry 5:
A plane-wave DFT calculation with PBE was carried out for a relaxed structure of TiCr2S4.

Properties
Raw total energy = -6.90 eV per atom
SG = Cm
Raw formation energy = -0.67 eV/atom
Energy relative to the lowest polymorph listed for this composition = 0.2563 eV/atom
Crystal system = monoclinic

Geometry as POSCAR:
```
TiCr2S4
1.0
3.311 -3.659 0.000
3.311 3.659 0.000
-0.447 0.000 4.740
Ti Cr S
1 2 4
direct
0.000 0.000 0.000 Ti
0.356 0.808 0.432 Cr
0.808 0.356 0.432 Cr
0.311 0.311 0.378 S
0.432 0.855 0.930 S
0.855 0.432 0.930 S
0.863 0.863 0.464 S
```

Entry 6:
A plane-wave DFT calculation with PBE was carried out for a relaxed structure of K2NbBO5.

Properties
Raw total energy = -7.03 eV per atom
SG = Cmc2_1
Raw formation energy = -2.17 eV/atom
Crystal system = orthorhombic

Geometry as POSCAR:
```
K2NbBO5
1.0
1.591 -7.077 0.000
1.591 7.077 0.000
0.000 0.000 12.186
K Nb B O
4 2 2 10
direct
0.077 0.923 0.500 K
0.124 0.876 0.201 K
0.876 0.124 0.701 K
0.923 0.077 0.000 K
0.187 0.813 0.898 Nb
0.813 0.187 0.398 Nb
0.424 0.576 0.253 B
0.576 0.424 0.753 B
0.054 0.946 0.834 O
0.314 0.686 0.869 O
0.324 0.676 0.274 O
0.325 0.675 0.498 O
0.474 0.526 0.163 O
0.526 0.474 0.663 O
0.675 0.325 0.998 O
0.676 0.324 0.774 O
0.686 0.314 0.369 O
0.946 0.054 0.334 O
```

Entry 7:
A plane-wave DFT calculation with PBE was carried out for a relaxed structure of LiYSi2.

Properties
Raw total energy = -5.20 eV per atom
SG = Imm2
Raw formation energy = -0.40 eV/atom
Energy relative to the lowest polymorph listed for this composition = 0.1817 eV/atom
Crystal system = orthorhombic

Geometry as POSCAR:
```
LiYSi2
1.0
-1.839 2.076 5.048
1.839 -2.076 5.048
1.839 2.076 -5.048
Li Y Si
1 1 2
direct
0.000 0.000 0.000 Li
0.747 0.247 0.500 Y
0.341 0.841 0.500 Si
0.495 0.495 0.000 Si
```

Entry 8:
A plane-wave DFT calculation with PBE was carried out for a relaxed structure of MgTa3N.

Properties
Raw total energy = -6.08 eV per atom
SG = Pm-3m
Raw formation energy = 3.02 eV/atom
Energy relative to the lowest polymorph listed for this composition = 3.2542 eV/atom
Crystal system = cubic

Geometry as POSCAR:
```
MgTa3N
1.0
4.679 0.000 0.000
0.000 4.679 0.000
0.000 0.000 4.679
Mg Ta N
1 3 1
direct
0.000 0.000 0.000 Mg
0.000 0.000 0.500 Ta
0.000 0.500 0.000 Ta
0.500 0.000 0.000 Ta
0.500 0.500 0.500 N
```

Entry 9:
A plane-wave DFT calculation with PBE was carried out for a relaxed structure of CaSc3Tc.

Properties
Calculated formation energy = 1.693 eV/atom
Raw total energy = -4.58 eV per atom
SG = Pm-3m
Energy relative to the lowest polymorph listed for this composition = 1.6823 eV/atom
Crystal system = cubic

Geometry as POSCAR:
```
CaSc3Tc
1.0
4.776 0.000 0.000
0.000 4.776 0.000
0.000 0.000 4.776
Ca Sc Tc
1 3 1
direct
0.000 0.000 0.000 Ca
0.000 0.000 0.500 Sc
0.000 0.500 0.000 Sc
0.500 0.000 0.000 Sc
0.500 0.500 0.500 Tc
```

Entry 10:
A plane-wave DFT calculation with PBE was carried out for a relaxed structure of Ho3ThFe.

Properties
Calculated formation energy = 0.206 eV/atom
Raw total energy = -5.72 eV per atom
SG = Pm-3m
Crystal system = cubic

Geometry as POSCAR:
```
Ho3ThFe
1.0
5.230 0.000 0.000
0.000 5.230 0.000
0.000 0.000 5.230
Ho Th Fe
3 1 1
direct
0.000 0.000 0.500 Ho
0.000 0.500 0.000 Ho
0.500 0.000 0.000 Ho
0.500 0.500 0.500 Th
0.000 0.000 0.000 Fe
```

Entry 11:
A plane-wave DFT calculation with PBE was carried out for a relaxed structure of Ta2Ti2Co.

Properties
Calculated formation energy = 0.181 eV/atom
Raw total energy = -9.14 eV per atom
SG = P4/mbm
Crystal system = tetragonal

Geometry as POSCAR:
```
Ta2Ti2Co
1.0
6.191 0.000 0.000
0.000 6.191 0.000
0.000 0.000 4.335
Ta Ti Co
4 4 2
direct
0.160 0.340 0.000 Ta
0.340 0.840 0.000 Ta
0.660 0.160 0.000 Ta
0.840 0.660 0.000 Ta
0.152 0.652 0.500 Ti
0.348 0.152 0.500 Ti
0.652 0.848 0.500 Ti
0.848 0.348 0.500 Ti
0.000 0.000 0.500 Co
0.500 0.500 0.500 Co
```

Entry 12:
A plane-wave DFT calculation with PBE was carried out for a relaxed structure of Tb2Ga2Ag3.

Properties
Calculated formation energy = -0.304 eV/atom
Raw total energy = -3.71 eV per atom
SG = Cmcm
Crystal system = orthorhombic

Geometry as POSCAR:
```
Tb2Ga2Ag3
1.0
2.146 -9.951 0.000
2.146 9.951 0.000
0.000 0.000 7.123
Tb Ga Ag
4 4 6
direct
0.053 0.947 0.750 Tb
0.160 0.840 0.250 Tb
0.840 0.160 0.750 Tb
0.947 0.053 0.250 Tb
0.311 0.689 0.055 Ga
0.311 0.689 0.445 Ga
0.689 0.311 0.555 Ga
0.689 0.311 0.945 Ga
0.221 0.779 0.750 Ag
0.436 0.564 0.559 Ag
0.436 0.564 0.941 Ag
0.564 0.436 0.059 Ag
0.564 0.436 0.441 Ag
0.779 0.221 0.250 Ag
```

Entry 13:
A plane-wave DFT calculation with PBE was carried out for a relaxed structure of CoSe3I.

Properties
Raw total energy = -3.44 eV per atom
SG = Pm-3m
Raw formation energy = 0.38 eV/atom
Energy relative to the lowest polymorph listed for this composition = 0.0000 eV/atom
Crystal system = cubic

Geometry as POSCAR:
```
CoSe3I
1.0
4.763 0.000 0.000
0.000 4.763 0.000
0.000 0.000 4.763
Co Se I
1 3 1
direct
0.000 0.000 0.000 Co
0.000 0.000 0.500 Se
0.000 0.500 0.000 Se
0.500 0.000 0.000 Se
0.500 0.500 0.500 I
```

Entry 14:
A plane-wave DFT calculation with PBE was carried out for a relaxed structure of NaAcBe2F8.

Properties
Raw total energy = -5.80 eV per atom
SG = R-3
Raw formation energy = -3.47 eV/atom
Crystal system = trigonal

Geometry as POSCAR:
```
NaAcBe2F8
1.0
2.495 1.440 6.942
-2.495 1.440 6.942
0.000 -2.881 6.942
Na Ac Be F
1 1 2 8
direct
0.000 0.000 0.000 Na
0.500 0.500 0.500 Ac
0.248 0.248 0.248 Be
0.752 0.752 0.752 Be
0.054 0.692 0.459 F
0.170 0.170 0.170 F
0.308 0.541 0.946 F
0.459 0.054 0.692 F
0.541 0.946 0.308 F
0.692 0.459 0.054 F
0.830 0.830 0.830 F
0.946 0.308 0.541 F
```

Entry 15:
A plane-wave DFT calculation with PBE was carried out for a relaxed structure of TaRhSN2.

Properties
Raw total energy = -7.46 eV per atom
SG = P4/mmm
Raw formation energy = 0.54 eV/atom
Energy relative to the lowest polymorph listed for this composition = 0.0000 eV/atom
Crystal system = tetragonal

Geometry as POSCAR:
```
TaRhSN2
1.0
3.946 0.000 0.000
0.000 3.946 0.000
0.000 0.000 5.052
Ta Rh S N
1 1 1 2
direct
0.000 0.000 0.000 Ta
0.500 0.500 0.500 Rh
0.000 0.000 0.500 S
0.000 0.500 0.000 N
0.500 0.000 0.000 N
```

Entry 16:
A plane-wave DFT calculation with PBE was carried out for a relaxed structure of Er4CdRh2Au.

Properties
Calculated formation energy = -0.715 eV/atom
Raw total energy = -5.36 eV per atom
SG = R-3m
Crystal system = trigonal

Geometry as POSCAR:
```
Er4CdRh2Au
1.0
2.487 1.436 8.104
-2.487 1.436 8.104
0.000 -2.872 8.104
Er Cd Rh Au
4 1 2 1
direct
0.122 0.122 0.122 Er
0.372 0.372 0.372 Er
0.628 0.628 0.628 Er
0.878 0.878 0.878 Er
0.500 0.500 0.500 Cd
0.247 0.247 0.247 Rh
0.753 0.753 0.753 Rh
0.000 0.000 0.000 Au
```

Entry 17:
A plane-wave DFT calculation with PBE was carried out for a relaxed structure of BeZn2O2.

Properties
Raw total energy = -3.29 eV per atom
SG = P4/mbm
Raw formation energy = -0.05 eV/atom
Energy relative to the lowest polymorph listed for this composition = 0.1825 eV/atom
Crystal system = tetragonal

Geometry as POSCAR:
```
BeZn2O2
1.0
6.272 0.000 0.000
0.000 6.272 0.000
0.000 0.000 2.768
Be Zn O
2 4 4
direct
0.000 0.000 0.000 Be
0.500 0.500 0.000 Be
0.150 0.350 0.000 Zn
0.350 0.850 0.000 Zn
0.650 0.150 0.000 Zn
0.850 0.650 0.000 Zn
0.154 0.654 0.500 O
0.346 0.154 0.500 O
0.654 0.846 0.500 O
0.846 0.346 0.500 O
```

Entry 18:
A plane-wave DFT calculation with PBE was carried out for a relaxed structure of La2BeI.

Properties
Raw total energy = -3.86 eV per atom
SG = I-42d
Raw formation energy = -0.08 eV/atom
Energy relative to the lowest polymorph listed for this composition = 0.0716 eV/atom
Crystal system = tetragonal

Geometry as POSCAR:
```
La2BeI
1.0
-4.059 4.059 3.729
4.059 -4.059 3.729
4.059 4.059 -3.729
La Be I
4 2 2
direct
0.085 0.125 0.460 La
0.375 0.915 0.040 La
0.665 0.625 0.540 La
0.875 0.335 0.960 La
0.000 0.000 0.000 Be
0.750 0.250 0.500 Be
0.250 0.750 0.500 I
0.500 0.500 0.000 I
```

Entry 19:
A plane-wave DFT calculation with PBE was carried out for a relaxed structure of Tb2AlNi.

Properties
Calculated formation energy = -0.377 eV/atom
Raw total energy = -5.07 eV per atom
SG = P4/mmm
Crystal system = tetragonal

Geometry as POSCAR:
```
Tb2AlNi
1.0
3.433 0.000 0.000
0.000 3.433 0.000
0.000 0.000 7.349
Tb Al Ni
2 1 1
direct
0.000 0.000 0.226 Tb
0.000 0.000 0.774 Tb
0.500 0.500 0.500 Al
0.500 0.500 0.000 Ni
```

Entry 20:
A plane-wave DFT calculation with PBE was carried out for a relaxed structure of Cs2CdHg3Pb4.

Properties
Calculated formation energy = -0.113 eV/atom
Raw total energy = -1.95 eV per atom
SG = P-4m2
Crystal system = tetragonal

Geometry as POSCAR:
```
Cs2CdHg3Pb4
1.0
5.256 0.000 0.000
0.000 5.256 0.000
0.000 0.000 12.804
Cs Cd Hg Pb
2 1 3 4
direct
0.000 0.500 0.245 Cs
0.500 0.000 0.755 Cs
0.500 0.500 0.000 Cd
0.000 0.000 0.000 Hg
0.000 0.500 0.638 Hg
0.500 0.000 0.362 Hg
0.000 0.000 0.500 Pb
0.000 0.500 0.875 Pb
0.500 0.000 0.125 Pb
0.500 0.500 0.500 Pb
```